<i>
A relaxed Pm7Pr3Er2 crystal, computed with GGA-PBE.

```
12
Lattice="3.6278 0.0000 0.0000 0.0000 5.9475 0.2926 0.0000 -1.9625 19.1121" Properties=species:S:1:pos:R:3 pbc="T T T"
Pm 0.0000 3.8084 2.9873
Pm 0.0000 0.1766 16.4174
Pm 0.0000 0.0000 0.0000
Pm 1.8139 0.7761 3.5067
Pm 1.8139 0.4756 10.3150
Pm 1.8139 3.2089 15.8980
Pm 1.8139 3.5094 9.0896
Er 1.8139 0.3361 13.5597
Er 1.8139 3.6489 5.8450
Pr 0.0000 3.3981 12.3479
Pr 0.0000 0.5869 7.0568
Pr 1.8139 2.9737 0.1463
```

Values from the calculation:
Its calculated volume is 34.54 A^3/atom.

***

<ii>
A relaxed Pm7Pr3Er2 crystal, computed with GGA-PBE.

```
12
Lattice="3.5890 0.0000 0.0000 0.0000 6.4267 -0.8835 0.0000 -2.1074 18.2198" Properties=species:S:1:pos:R:3 pbc="T T T"
Pr 0.0000 -0.6568 11.9456
Pr 1.7945 3.2134 -0.4418
Pr 0.0000 4.9761 5.3907
Er 1.7945 2.5478 11.6774
Er 1.7945 1.7715 5.6588
Pm 1.7945 0.5103 8.8530
Pm 1.7945 3.8090 8.4833
Pm 1.7945 5.7213 2.2412
Pm 1.7945 -1.4020 15.0950
Pm 0.0000 2.4595 2.6861
Pm 0.0000 1.8598 14.6501
Pm 0.0000 0.0000 0.0000
```

Values from the calculation:
Its calculated volume is 34.46 A^3/atom.

***

So which one is most stable? That would be <ii>, about 0.9 kJ/mol of atoms below the next structure.

***

<i>
A relaxed Pm2PrEr crystal, computed with GGA-PBE.

```
4
Lattice="3.6307 0.0000 0.0000 0.0000 3.6307 0.0000 0.0000 0.0000 10.2795" Properties=species:S:1:pos:R:3 pbc="T T T"
Er 1.8154 1.8154 5.1398
Pr 1.8154 1.8154 0.0000
Pm 0.0000 0.0000 2.6373
Pm 0.0000 0.0000 7.6423
```

Values from the calculation:
Its calculated volume is 33.88 A^3/atom.

***

<ii>
A relaxed Pm2PrEr crystal, computed with GGA-PBE.

```
4
Lattice="3.6207 0.0000 -0.9681 -0.5853 5.5407 -2.1889 -0.0689 -0.4766 6.9971" Properties=species:S:1:pos:R:3 pbc="T T T"
Pm 2.5644 1.1938 2.3361
Pm 0.0060 0.0095 0.0224
Pr 0.4008 3.8681 1.4990
Er 1.4442 2.2864 5.4012
```

Values from the calculation:
Its calculated volume is 33.99 A^3/atom.

***

So which one is most stable? That would be <i>, about 8.9 kJ/mol of atoms below the next structure.

***

<i>
A relaxed Pm2PrEr crystal, computed with GGA-PBE.

```
4
Lattice="4.2560 0.0000 0.0000 0.0000 4.2560 0.0000 0.0000 0.0000 7.5009" Properties=species:S:1:pos:R:3 pbc="T T T"
Pr 2.1280 2.1280 3.7505
Pm 0.0000 0.0000 1.7936
Pm 0.0000 0.0000 5.7074
Er 2.1280 2.1280 0.0000
```

Values from the calculation:
Its calculated volume is 33.97 A^3/atom.

***

<ii>
A relaxed Pm2PrEr crystal, computed with GGA-PBE.

```
4
Lattice="-5.6175 -1.1010 0.7879 -1.7671 -2.7287 4.7772 -2.9689 2.8749 4.0386" Properties=species:S:1:pos:R:3 pbc="T T T"
Er 0.0000 0.0000 0.0000
Pm -7.7651 -0.7161 7.2028
Pm -2.5884 -0.2387 2.4009
Pr -5.1768 -0.4774 4.8019
```

Values from the calculation:
Its calculated volume is 34.11 A^3/atom.

***

<iii>
A relaxed Pm2PrEr crystal, computed with GGA-PBE.

```
4
Lattice="5.1449 0.0000 0.0000 0.0000 5.1250 0.0000 0.0000 0.0000 5.1250" Properties=species:S:1:pos:R:3 pbc="T T T"
Pm 0.0000 0.0000 2.5625
Pm 0.0000 2.5625 0.0000
Er 2.5725 2.5625 2.5625
Pr 2.5725 0.0000 0.0000
```

Values from the calculation:
Its calculated volume is 33.78 A^3/atom.

***

So which one is most stable? That would be <iii>, about 9.5 kJ/mol of atoms below the next structure.